1.
Density functional theory data (PBE) for crystalline HfSc2GeBr at its relaxed geometry.

Unit cell a=5.471 b=4.900 c=5.471 alpha=90.00 beta=90.00 gamma=90.00
Sites, in units of the cell vectors:
Sc: 0.000 0.000 0.500
Sc: 0.500 0.000 0.000
Ge: 0.500 0.500 0.500
Hf: 0.000 0.000 0.000
Br: 0.000 0.500 0.000

Properties
Total DFT energy (no corrections), eV per atom: -5.083
DOS(E_F), states/eV per cell: 5.100
E_form (uncorrected), eV per atom: 0.698
Volume, Å³/atom: 29.3

***

2.
Density functional theory data (PBE) for crystalline HfGeSeBr2 at its relaxed geometry.

Unit cell a=5.265 b=5.265 c=5.206 alpha=90.00 beta=90.00 gamma=90.00
Site moments in Bohr magnetons follow the coordinates.
Sites, in units of the cell vectors:
Ge: 0.500 0.500 0.500  0.55
Hf: 0.000 0.000 0.000  0.10
Se: 0.000 0.000 0.500  -0.03
Br: 0.000 0.500 0.000  0.02
Br: 0.500 0.000 0.000  0.02

Properties
E above lowest polymorph, eV per formula unit: 0.000
Total DFT energy (no corrections), eV per atom: -4.535
DOS(E_F), states/eV per cell: 4.361
E_form (uncorrected), eV per atom: -0.255
Volume, Å³/atom: 28.9

***

3.
Density functional theory data (PBE) for crystalline HfGeSe2Br at its relaxed geometry.

Unit cell a=4.936 b=5.322 c=4.936 alpha=90.00 beta=90.00 gamma=90.00
Sites, in units of the cell vectors:
Ge: 0.000 0.000 0.000
Hf: 0.000 0.500 0.000
Se: 0.000 0.000 0.500
Se: 0.500 0.000 0.000
Br: 0.500 0.500 0.500

Properties
E above lowest polymorph, eV per formula unit: 3.646
Total DFT energy (no corrections), eV per atom: -4.229
DOS(E_F), states/eV per cell: 5.490
E_form (uncorrected), eV per atom: 0.414
Volume, Å³/atom: 25.9

***

4.
Density functional theory data (PBE) for crystalline HfGeSe2Br at its relaxed geometry.

Unit cell a=5.200 b=5.200 c=5.192 alpha=90.00 beta=90.00 gamma=90.00
Site moments in Bohr magnetons follow the coordinates.
Sites, in units of the cell vectors:
Ge: 0.500 0.500 0.500  0.36
Hf: 0.000 0.000 0.000  0.03
Se: 0.000 0.500 0.000  -0.03
Se: 0.500 0.000 0.000  -0.03
Br: 0.000 0.000 0.500  0.01

Properties
E above lowest polymorph, eV per formula unit: 0.000
Total DFT energy (no corrections), eV per atom: -4.958
DOS(E_F), states/eV per cell: 1.965
E_form (uncorrected), eV per atom: -0.315
Volume, Å³/atom: 28.1

***

5.
Density functional theory data (PBE) for crystalline HfGeSeBr2 at its relaxed geometry.

Unit cell a=5.123 b=5.123 c=5.316 alpha=90.00 beta=90.00 gamma=90.00
Site moments in Bohr magnetons follow the coordinates.
Sites, in units of the cell vectors:
Ge: 0.000 0.000 0.000  0.01
Hf: 0.500 0.500 0.500  1.16
Se: 0.000 0.000 0.500  -0.05
Br: 0.000 0.500 0.000  0.01
Br: 0.500 0.000 0.000  0.01

Properties
E above lowest polymorph, eV per formula unit: 3.439
Total DFT energy (no corrections), eV per atom: -3.847
DOS(E_F), states/eV per cell: 4.842
E_form (uncorrected), eV per atom: 0.433
Volume, Å³/atom: 27.9

***

6.
Density functional theory data (PBE) for crystalline HfGeSe2Br at its relaxed geometry.

Unit cell a=5.030 b=5.030 c=4.952 alpha=90.00 beta=90.00 gamma=90.00
Site moments in Bohr magnetons follow the coordinates.
Sites, in units of the cell vectors:
Ge: 0.000 0.000 0.000  0.03
Hf: 0.500 0.500 0.500  0.90
Se: 0.000 0.500 0.000  -0.04
Se: 0.500 0.000 0.000  -0.04
Br: 0.000 0.000 0.500  -0.01

Properties
E above lowest polymorph, eV per formula unit: 3.465
Total DFT energy (no corrections), eV per atom: -4.265
DOS(E_F), states/eV per cell: 4.749
E_form (uncorrected), eV per atom: 0.377
Volume, Å³/atom: 25.1

***

7.
Density functional theory data (PBE) for crystalline SrHf2GeBr at its relaxed geometry.

Unit cell a=5.582 b=5.582 c=5.310 alpha=90.00 beta=90.00 gamma=90.00
Sites, in units of the cell vectors:
Sr: 0.000 0.000 0.000
Ge: 0.500 0.500 0.500
Hf: 0.000 0.500 0.000
Hf: 0.500 0.000 0.000
Br: 0.000 0.000 0.500

Properties
Total DFT energy (no corrections), eV per atom: -3.881
DOS(E_F), states/eV per cell: 6.573
E_form (uncorrected), eV per atom: 1.695
Volume, Å³/atom: 33.1

***

8.
Density functional theory data (PBE) for crystalline HfGeWBr2 at its relaxed geometry.

Unit cell a=5.109 b=5.261 c=5.109 alpha=90.00 beta=90.00 gamma=90.00
Sites, in units of the cell vectors:
Ge: 0.500 0.500 0.500
Hf: 0.000 0.000 0.000
Br: 0.000 0.000 0.500
Br: 0.500 0.000 0.000
W: 0.000 0.500 0.000

Properties
Total DFT energy (no corrections), eV per atom: -5.089
DOS(E_F), states/eV per cell: 4.242
E_form (uncorrected), eV per atom: 1.085
Volume, Å³/atom: 27.5

***

9.
Density functional theory data (PBE) for crystalline Hf2GeWBr at its relaxed geometry.

Unit cell a=5.064 b=4.862 c=5.064 alpha=90.00 beta=90.00 gamma=90.00
Site moments in Bohr magnetons follow the coordinates.
Sites, in units of the cell vectors:
Ge: 0.000 0.000 0.000  0.03
Hf: 0.000 0.000 0.500  -0.20
Hf: 0.500 0.000 0.000  -0.16
Br: 0.000 0.500 0.000  0.03
W: 0.500 0.500 0.500  1.72

Properties
Total DFT energy (no corrections), eV per atom: -6.332
DOS(E_F), states/eV per cell: 5.864
E_form (uncorrected), eV per atom: 1.498
Volume, Å³/atom: 24.9

***

10.
Density functional theory data (PBE) for crystalline HfZnGe2Br at its relaxed geometry.

Unit cell a=4.667 b=5.397 c=4.667 alpha=90.00 beta=90.00 gamma=90.00
Sites, in units of the cell vectors:
Ge: 0.000 0.000 0.500
Ge: 0.500 0.000 0.000
Hf: 0.000 0.500 0.000
Zn: 0.000 0.000 0.000
Br: 0.500 0.500 0.500

Properties
Total DFT energy (no corrections), eV per atom: -3.821
DOS(E_F), states/eV per cell: 4.472
E_form (uncorrected), eV per atom: 0.606
Volume, Å³/atom: 23.5

***

11.
Density functional theory data (PBE) for crystalline HfZnGeBr2 at its relaxed geometry.

Unit cell a=5.237 b=5.497 c=5.237 alpha=90.00 beta=90.00 gamma=90.00
Sites, in units of the cell vectors:
Ge: 0.000 0.000 0.000
Hf: 0.000 0.500 0.000
Zn: 0.500 0.500 0.500
Br: 0.000 0.000 0.500
Br: 0.500 0.000 0.000

Properties
Total DFT energy (no corrections), eV per atom: -3.323
DOS(E_F), states/eV per cell: 3.368
E_form (uncorrected), eV per atom: 0.515
Volume, Å³/atom: 30.2

***

12.
Density functional theory data (PBE) for crystalline Hg2GeBr at its relaxed geometry.

Unit cell a=6.602 b=6.602 c=7.871 alpha=65.20 beta=65.20 gamma=90.00
Sites, in units of the cell vectors:
Ge: 0.500 0.500 0.000
Ge: 0.250 0.750 0.500
Hg: 0.571 0.125 0.250
Hg: 0.179 0.625 0.250
Hg: 0.375 0.429 0.750
Hg: 0.875 0.821 0.750
Br: 0.000 0.000 0.000
Br: 0.750 0.250 0.500

Properties
E above lowest polymorph, eV per formula unit: 0.000
Total DFT energy (no corrections), eV per atom: -1.705
DOS(E_F), states/eV per cell: 7.654
E_form (uncorrected), eV per atom: 0.019
Volume, Å³/atom: 34.5

***

13.
Density functional theory data (PBE) for crystalline Hg3GeBr at its relaxed geometry.

Unit cell a=5.329 b=5.329 c=5.329 alpha=90.00 beta=90.00 gamma=90.00
Sites, in units of the cell vectors:
Ge: 0.000 0.000 0.000
Hg: 0.000 0.500 0.000
Hg: 0.000 0.000 0.500
Hg: 0.500 0.000 0.000
Br: 0.500 0.500 0.500

Properties
E above lowest polymorph, eV per formula unit: 0.000
Total DFT energy (no corrections), eV per atom: -1.505
DOS(E_F), states/eV per cell: 1.071
E_form (uncorrected), eV per atom: -0.066
Volume, Å³/atom: 30.3

***

14.
Density functional theory data (PBE) for crystalline HgGe2Br8 at its relaxed geometry.

Unit cell a=9.829 b=8.468 c=8.468 alpha=56.75 beta=66.65 gamma=66.65
Sites, in units of the cell vectors:
Hg: 0.000 0.000 0.000
Ge: 0.680 0.790 0.790
Ge: 0.320 0.210 0.210
Br: 0.250 0.384 0.917
Br: 0.750 0.083 0.616
Br: 0.420 0.845 0.845
Br: 0.580 0.155 0.155
Br: 0.250 0.917 0.384
Br: 0.750 0.616 0.083
Br: 0.805 0.617 0.617
Br: 0.195 0.383 0.383

Properties
Total DFT energy (no corrections), eV per atom: -2.617
DOS(E_F), states/eV per cell: 0.000
E_form (uncorrected), eV per atom: -0.534
Volume, Å³/atom: 47.8

***

15.
Density functional theory data (PBE) for crystalline Hg2Ge2Br at its relaxed geometry.

Unit cell a=3.852 b=3.852 c=9.040 alpha=77.70 beta=77.70 gamma=90.00
Sites, in units of the cell vectors:
Ge: 0.750 0.250 0.500
Ge: 0.250 0.750 0.500
Hg: 0.394 0.394 0.212
Hg: 0.606 0.606 0.788
Br: 0.000 0.000 0.000

Properties
E above lowest polymorph, eV per formula unit: 0.000
Total DFT energy (no corrections), eV per atom: -2.195
DOS(E_F), states/eV per cell: 1.650
E_form (uncorrected), eV per atom: 0.107
Volume, Å³/atom: 25.6

***

16.
Density functional theory data (PBE) for crystalline HgGe2Br2 at its relaxed geometry.

Unit cell a=7.805 b=7.805 c=4.681 alpha=90.00 beta=90.00 gamma=90.00
Sites, in units of the cell vectors:
Ge: 0.301 0.801 0.000
Ge: 0.801 0.699 0.000
Ge: 0.699 0.199 0.000
Ge: 0.199 0.301 0.000
Hg: 0.000 0.000 0.000
Hg: 0.500 0.500 0.000
Br: 0.174 0.674 0.500
Br: 0.674 0.826 0.500
Br: 0.826 0.326 0.500
Br: 0.326 0.174 0.500

Properties
E above lowest polymorph, eV per formula unit: 0.000
Total DFT energy (no corrections), eV per atom: -2.590
DOS(E_F), states/eV per cell: 5.034
E_form (uncorrected), eV per atom: -0.014
Volume, Å³/atom: 28.5

***

17.
Density functional theory data (PBE) for crystalline HgGeBr4 at its relaxed geometry.

Unit cell a=4.096 b=7.133 c=13.799 alpha=88.90 beta=90.00 gamma=90.00
Sites, in units of the cell vectors:
Hg: 0.500 0.500 0.500
Hg: 0.000 0.000 0.000
Ge: 0.000 0.000 0.500
Ge: 0.500 0.500 0.000
Br: 0.500 0.166 0.384
Br: 0.000 0.334 0.116
Br: 0.500 0.834 0.616
Br: 0.000 0.666 0.884
Br: 0.993 0.671 0.384
Br: 0.493 0.829 0.116
Br: 0.007 0.329 0.616
Br: 0.507 0.171 0.884

Properties
E above lowest polymorph, eV per formula unit: 0.000
Total DFT energy (no corrections), eV per atom: -2.410
E_form (uncorrected), eV per atom: -0.475
Volume, Å³/atom: 33.6

***

18.
Density functional theory data (PBE) for crystalline HgGe2Br4 at its relaxed geometry.

Unit cell a=8.065 b=7.110 c=10.694 alpha=79.49 beta=138.01 gamma=124.17
Sites, in units of the cell vectors:
Ge: 0.518 0.232 0.710
Ge: 0.482 0.714 0.191
Hg: 0.000 0.311 0.792
Br: 0.000 0.667 0.026
Br: 0.000 0.172 0.533
Br: 0.514 0.959 0.881
Br: 0.486 0.445 0.367

Properties
Total DFT energy (no corrections), eV per atom: -2.731
DOS(E_F), states/eV per cell: 0.000
E_form (uncorrected), eV per atom: -0.413
Volume, Å³/atom: 43.9

***

19.
Density functional theory data (PBE) for crystalline Hg4GeBr2 at its relaxed geometry.

Unit cell a=5.340 b=5.340 c=8.719 alpha=72.17 beta=72.17 gamma=90.00
Sites, in units of the cell vectors:
Ge: 0.000 0.000 0.000
Hg: 0.826 0.826 0.349
Hg: 0.174 0.174 0.651
Hg: 0.000 0.500 0.000
Hg: 0.500 0.000 0.000
Br: 0.650 0.650 0.700
Br: 0.350 0.350 0.300

Properties
Total DFT energy (no corrections), eV per atom: -1.454
DOS(E_F), states/eV per cell: 4.202
E_form (uncorrected), eV per atom: -0.144
Volume, Å³/atom: 32.0

***

20.
Density functional theory data (PBE) for crystalline HgGe3Br at its relaxed geometry.

Unit cell a=5.230 b=5.230 c=5.230 alpha=90.00 beta=90.00 gamma=90.00
Sites, in units of the cell vectors:
Ge: 0.000 0.500 0.000
Ge: 0.000 0.000 0.500
Ge: 0.500 0.000 0.000
Hg: 0.500 0.500 0.500
Br: 0.000 0.000 0.000

Properties
E above lowest polymorph, eV per formula unit: 0.551
Total DFT energy (no corrections), eV per atom: -2.259
DOS(E_F), states/eV per cell: 3.241
E_form (uncorrected), eV per atom: 0.906
Volume, Å³/atom: 28.6

***

21.
Density functional theory data (PBE) for crystalline HgGe2Br2 at its relaxed geometry.

Unit cell a=5.802 b=5.802 c=5.902 alpha=60.56 beta=60.56 gamma=90.00
Sites, in units of the cell vectors:
Ge: 0.323 0.323 0.355
Ge: 0.677 0.677 0.645
Hg: 0.000 0.000 0.000
Br: 0.750 0.250 0.500
Br: 0.250 0.750 0.500

Properties
E above lowest polymorph, eV per formula unit: 0.024
Total DFT energy (no corrections), eV per atom: -2.586
DOS(E_F), states/eV per cell: 1.833
E_form (uncorrected), eV per atom: -0.009
Volume, Å³/atom: 28.6

***

22.
Density functional theory data (PBE) for crystalline Hg2Ge2Br at its relaxed geometry.

Unit cell a=5.056 b=5.056 c=6.216 alpha=66.00 beta=66.00 gamma=90.00
Sites, in units of the cell vectors:
Ge: 0.375 0.375 0.249
Ge: 0.625 0.625 0.751
Hg: 0.750 0.250 0.500
Hg: 0.250 0.750 0.500
Br: 0.000 0.000 0.000

Properties
E above lowest polymorph, eV per formula unit: 0.378
Total DFT energy (no corrections), eV per atom: -2.120
DOS(E_F), states/eV per cell: 3.637
E_form (uncorrected), eV per atom: 0.182
Volume, Å³/atom: 26.0

***

23.
Density functional theory data (PBE) for crystalline HgGeBr3 at its relaxed geometry.

Unit cell a=5.377 b=5.377 c=5.377 alpha=90.00 beta=90.00 gamma=90.00
Sites, in units of the cell vectors:
Ge: 0.000 0.000 0.000
Hg: 0.500 0.500 0.500
Br: 0.000 0.500 0.000
Br: 0.000 0.000 0.500
Br: 0.500 0.000 0.000

Properties
E above lowest polymorph, eV per formula unit: 0.000
Total DFT energy (no corrections), eV per atom: -2.240
DOS(E_F), states/eV per cell: 10.241
E_form (uncorrected), eV per atom: -0.252
Volume, Å³/atom: 31.1

***

24.
Density functional theory data (PBE) for crystalline HgGe3Br at its relaxed geometry.

Unit cell a=5.345 b=5.345 c=5.345 alpha=90.00 beta=90.00 gamma=90.00
Sites, in units of the cell vectors:
Ge: 0.000 0.500 0.000
Ge: 0.000 0.000 0.500
Ge: 0.500 0.000 0.000
Hg: 0.000 0.000 0.000
Br: 0.500 0.500 0.500

Properties
E above lowest polymorph, eV per formula unit: 0.000
Total DFT energy (no corrections), eV per atom: -2.370
DOS(E_F), states/eV per cell: 3.907
E_form (uncorrected), eV per atom: 0.796
Volume, Å³/atom: 30.5

***

25.
Density functional theory data (PBE) for crystalline HgGeBr3 at its relaxed geometry.

Unit cell a=5.520 b=5.520 c=5.520 alpha=90.00 beta=90.00 gamma=90.00
Site moments in Bohr magnetons follow the coordinates.
Sites, in units of the cell vectors:
Ge: 0.500 0.500 0.500  0.38
Hg: 0.000 0.000 0.000  0.00
Br: 0.000 0.500 0.000  -0.01
Br: 0.000 0.000 0.500  -0.02
Br: 0.500 0.000 0.000  -0.02

Properties
E above lowest polymorph, eV per formula unit: 2.104
Total DFT energy (no corrections), eV per atom: -1.819
DOS(E_F), states/eV per cell: 1.503
E_form (uncorrected), eV per atom: 0.169
Volume, Å³/atom: 33.6

***

26.
Density functional theory data (PBE) for crystalline HgGeBr4 at its relaxed geometry.

Unit cell a=6.639 b=6.665 c=10.897 alpha=103.87 beta=103.78 gamma=102.53
Sites, in units of the cell vectors:
Hg: 0.348 0.598 0.196
Hg: 0.652 0.402 0.804
Ge: 0.841 0.091 0.183
Ge: 0.159 0.909 0.817
Br: 0.290 0.044 0.643
Br: 0.071 0.798 0.108
Br: 0.148 0.401 0.357
Br: 0.463 0.690 0.892
Br: 0.710 0.956 0.357
Br: 0.852 0.599 0.643
Br: 0.929 0.202 0.892
Br: 0.537 0.310 0.108

Properties
E above lowest polymorph, eV per formula unit: 0.095
Total DFT energy (no corrections), eV per atom: -2.394
E_form (uncorrected), eV per atom: -0.459
Volume, Å³/atom: 36.3

***

27.
Density functional theory data (PBE) for crystalline Hg2GeBr at its relaxed geometry.

Unit cell a=5.288 b=5.288 c=5.288 alpha=60.00 beta=60.00 gamma=60.00
Site moments in Bohr magnetons follow the coordinates.
Sites, in units of the cell vectors:
Ge: 0.000 0.000 0.000  0.28
Hg: 0.250 0.250 0.250  0.02
Hg: 0.750 0.750 0.750  0.02
Br: 0.500 0.500 0.500  0.07

Properties
E above lowest polymorph, eV per formula unit: 1.074
Total DFT energy (no corrections), eV per atom: -1.436
DOS(E_F), states/eV per cell: 2.301
E_form (uncorrected), eV per atom: 0.287
Volume, Å³/atom: 26.1